Record 1
A plane-wave DFT calculation with PBE was carried out for an optimized crystal structure of HfRe.

## Properties
* DOS(E_F): 41.033 states/eV per cell
* spin magnetization: 0.000 μB/atom
* symmetry: Fddd, No. 70
* energy of formation: 0.393 eV per atom
* mass density: 15.5 g/cm3

Unit cell a=10.463 b=8.463 c=7.038 alpha=90.00 beta=90.00 gamma=90.00
Atoms (fractional coordinates):
Hf1 0.000 0.193 0.000
Hf2 0.000 0.807 0.000
Hf3 0.250 0.557 0.250
Hf4 0.250 0.943 0.250
Hf5 0.000 0.693 0.500
Hf6 0.000 0.307 0.500
Hf7 0.250 0.057 0.750
Hf8 0.250 0.443 0.750
Hf9 0.500 0.193 0.500
Hf10 0.500 0.807 0.500
Hf11 0.750 0.557 0.750
Hf12 0.750 0.943 0.750
Hf13 0.500 0.693 0.000
Hf14 0.500 0.307 0.000
Hf15 0.750 0.057 0.250
Hf16 0.750 0.443 0.250
Re1 0.000 0.000 0.324
Re2 0.000 0.000 0.676
Re3 0.250 0.750 0.926
Re4 0.250 0.750 0.574
Re5 0.000 0.500 0.824
Re6 0.000 0.500 0.176
Re7 0.250 0.250 0.426
Re8 0.250 0.250 0.074
Re9 0.500 0.000 0.824
Re10 0.500 0.000 0.176
Re11 0.750 0.750 0.426
Re12 0.750 0.750 0.074
Re13 0.500 0.500 0.324
Re14 0.500 0.500 0.676
Re15 0.750 0.250 0.926
Re16 0.750 0.250 0.574

Record 2
A plane-wave DFT calculation with PBE was carried out for an optimized crystal structure of HfRe.

## Properties
* DOS(E_F): 11.200 states/eV per cell
* spin magnetization: 0.000 μB/atom
* symmetry: I4/mmm, No. 139
* energy of formation: -0.009 eV per atom
* mass density: 15.9 g/cm3

Unit cell a=8.068 b=8.068 c=4.684 alpha=90.00 beta=90.00 gamma=90.00
Atoms (fractional coordinates):
Hf1 0.200 0.500 0.000
Hf2 0.800 0.500 0.000
Hf3 0.500 0.800 0.000
Hf4 0.500 0.200 0.000
Hf5 0.700 0.000 0.500
Hf6 0.300 0.000 0.500
Hf7 0.000 0.300 0.500
Hf8 0.000 0.700 0.500
Re1 0.844 0.844 0.000
Re2 0.844 0.156 0.000
Re3 0.156 0.844 0.000
Re4 0.156 0.156 0.000
Re5 0.344 0.344 0.500
Re6 0.344 0.656 0.500
Re7 0.656 0.344 0.500
Re8 0.656 0.656 0.500

Record 3
A plane-wave DFT calculation with PBE was carried out for an optimized crystal structure of HfRe.

## Properties
* DOS(E_F): 15.454 states/eV per cell
* spin magnetization: 0.205 μB/atom
* symmetry: F-43m, No. 216
* energy of formation: 2.151 eV per atom
* mass density: 11.1 g/cm3

Unit cell a=6.014 b=6.014 c=6.014 alpha=90.00 beta=90.00 gamma=90.00
Atoms (fractional coordinates):
Hf1 0.250 0.250 0.250
Hf2 0.250 0.750 0.750
Hf3 0.750 0.250 0.750
Hf4 0.750 0.750 0.250
Re1 0.000 0.000 0.000
Re2 0.000 0.500 0.500
Re3 0.500 0.000 0.500
Re4 0.500 0.500 0.000

Record 4
A plane-wave DFT calculation with PBE was carried out for an optimized crystal structure of HfRe.

## Properties
* DOS(E_F): 16.143 states/eV per cell
* spin magnetization: 0.436 μB/atom
* symmetry: Pm-3n, No. 223
* energy of formation: 2.266 eV per atom
* mass density: 9.0 g/cm3

Unit cell a=7.385 b=7.385 c=7.385 alpha=90.00 beta=90.00 gamma=90.00
Atoms (fractional coordinates):
Hf1 0.250 0.000 0.500
Hf2 0.750 0.000 0.500
Hf3 0.000 0.500 0.250
Hf4 0.000 0.500 0.750
Hf5 0.500 0.250 0.000
Hf6 0.500 0.750 0.000
Re1 0.250 0.500 0.000
Re2 0.750 0.500 0.000
Re3 0.500 0.000 0.250
Re4 0.500 0.000 0.750
Re5 0.000 0.250 0.500
Re6 0.000 0.750 0.500

Record 5
A plane-wave DFT calculation with PBE was carried out for an optimized crystal structure of Hf5Re.

## Properties
* DOS(E_F): 9.681 states/eV per cell
* spin magnetization: 0.000 μB/atom
* symmetry: Cmmm, No. 65
* energy of formation: 0.025 eV per atom
* mass density: 14.7 g/cm3

Unit cell a=4.884 b=4.850 c=5.698 alpha=115.19 beta=90.00 gamma=90.00
Atoms (fractional coordinates):
Re1 0.000 0.000 0.000
Hf1 0.500 0.842 0.685
Hf2 0.000 0.652 0.305
Hf3 0.500 0.500 0.000
Hf4 0.000 0.348 0.695
Hf5 0.500 0.158 0.315

Record 6
A plane-wave DFT calculation with PBE was carried out for an optimized crystal structure of HfRe.

## Properties
* DOS(E_F): 7.382 states/eV per cell
* spin magnetization: 0.000 μB/atom
* symmetry: Fm-3m, No. 225
* energy of formation: 0.813 eV per atom
* mass density: 15.1 g/cm3

Unit cell a=5.437 b=5.437 c=5.437 alpha=90.00 beta=90.00 gamma=90.00
Atoms (fractional coordinates):
Hf1 0.000 0.000 0.000
Hf2 0.000 0.500 0.500
Hf3 0.500 0.000 0.500
Hf4 0.500 0.500 0.000
Re1 0.500 0.500 0.500
Re2 0.500 0.000 0.000
Re3 0.000 0.500 0.000
Re4 0.000 0.000 0.500

Record 7
A plane-wave DFT calculation with PBE was carried out for an optimized crystal structure of Hf21Re25.

## Properties
* DOS(E_F): 53.747 states/eV per cell
* spin magnetization: 0.000 μB/atom
* symmetry: R-3c, No. 167
* energy of formation: -0.411 eV per atom
* mass density: 16.7 g/cm3

Unit cell a=15.134 b=15.134 c=15.134 alpha=116.38 beta=116.38 gamma=116.38
Atoms (fractional coordinates):
Re1 0.000 0.000 0.000
Re2 0.500 0.500 0.500
Re3 0.689 0.811 0.750
Re4 0.750 0.689 0.811
Re5 0.811 0.750 0.689
Re6 0.250 0.311 0.189
Re7 0.189 0.250 0.311
Re8 0.311 0.189 0.250
Re9 0.306 0.194 0.750
Re10 0.750 0.306 0.194
Re11 0.194 0.750 0.306
Re12 0.250 0.694 0.806
Re13 0.806 0.250 0.694
Re14 0.694 0.806 0.250
Re15 0.693 0.632 0.930
Re16 0.930 0.693 0.632
Re17 0.632 0.930 0.693
Re18 0.430 0.132 0.193
Re19 0.193 0.430 0.132
Re20 0.132 0.193 0.430
Re21 0.307 0.368 0.070
Re22 0.070 0.307 0.368
Re23 0.368 0.070 0.307
Re24 0.570 0.868 0.807
Re25 0.807 0.570 0.868
Re26 0.868 0.807 0.570
Re27 0.519 0.812 0.929
Re28 0.929 0.519 0.812
Re29 0.812 0.929 0.519
Re30 0.429 0.312 0.019
Re31 0.019 0.429 0.312
Re32 0.312 0.019 0.429
Re33 0.481 0.188 0.071
Re34 0.071 0.481 0.188
Re35 0.188 0.071 0.481
Re36 0.571 0.688 0.981
Re37 0.981 0.571 0.688
Re38 0.688 0.981 0.571
Re39 0.764 0.118 0.115
Re40 0.115 0.764 0.118
Re41 0.118 0.115 0.764
Re42 0.615 0.618 0.264
Re43 0.264 0.615 0.618
Re44 0.618 0.264 0.615
Re45 0.236 0.882 0.885
Re46 0.885 0.236 0.882
Re47 0.882 0.885 0.236
Re48 0.385 0.382 0.736
Re49 0.736 0.385 0.382
Re50 0.382 0.736 0.385
Hf1 0.054 0.446 0.750
Hf2 0.750 0.054 0.446
Hf3 0.446 0.750 0.054
Hf4 0.250 0.946 0.554
Hf5 0.554 0.250 0.946
Hf6 0.946 0.554 0.250
Hf7 0.952 0.726 0.185
Hf8 0.185 0.952 0.726
Hf9 0.726 0.185 0.952
Hf10 0.685 0.226 0.452
Hf11 0.452 0.685 0.226
Hf12 0.226 0.452 0.685
Hf13 0.048 0.274 0.815
Hf14 0.815 0.048 0.274
Hf15 0.274 0.815 0.048
Hf16 0.315 0.774 0.548
Hf17 0.548 0.315 0.774
Hf18 0.774 0.548 0.315
Hf19 0.818 0.934 0.050
Hf20 0.050 0.818 0.934
Hf21 0.934 0.050 0.818
Hf22 0.550 0.434 0.318
Hf23 0.318 0.550 0.434
Hf24 0.434 0.318 0.550
Hf25 0.182 0.066 0.950
Hf26 0.950 0.182 0.066
Hf27 0.066 0.950 0.182
Hf28 0.450 0.566 0.682
Hf29 0.682 0.450 0.566
Hf30 0.566 0.682 0.450
Hf31 0.438 0.956 0.862
Hf32 0.862 0.438 0.956
Hf33 0.956 0.862 0.438
Hf34 0.362 0.456 0.938
Hf35 0.938 0.362 0.456
Hf36 0.456 0.938 0.362
Hf37 0.562 0.044 0.138
Hf38 0.138 0.562 0.044
Hf39 0.044 0.138 0.562
Hf40 0.638 0.544 0.062
Hf41 0.062 0.638 0.544
Hf42 0.544 0.062 0.638

Record 8
A plane-wave DFT calculation with PBE was carried out for an optimized crystal structure of Hf2Re.

## Properties
* DOS(E_F): 4.343 states/eV per cell
* spin magnetization: 0.002 μB/atom
* symmetry: I4/mmm, No. 139
* energy of formation: -0.204 eV per atom
* mass density: 15.6 g/cm3

Unit cell a=3.324 b=3.324 c=5.735 alpha=106.85 beta=106.85 gamma=90.00
Atoms (fractional coordinates):
Re1 0.000 0.000 0.000
Hf1 0.648 0.648 0.297
Hf2 0.352 0.352 0.703

Question: What is the mass density in the first record?
Answer: 15.5 g/cm3

Question: spin magnetization of number 4 (HfRe)?
Answer: 0.436 μB/atom

Question: Among the records above, which one has the lowest mass density?
Answer: number 4

Question: Which formula does entry 5 have?
Answer: Hf5Re